Material: Cu2SnPt
Method: DFT, GGA-PBE
State: relaxed

CIF file:
```
data_Cu2SnPt
_cell_length_a 4.4296
_cell_length_b 4.4296
_cell_length_c 4.4296
_cell_angle_alpha 60.00
_cell_angle_beta 60.00
_cell_angle_gamma 60.00
_space_group_name_H-M_alt 'P 1'
_space_group_IT_number 1
loop_
_space_group_symop_operation_xyz
'x,y,z'
loop_
_atom_site_label
_atom_site_fract_x
_atom_site_fract_y
_atom_site_fract_z
_atom_site_occupancy
Cu1 0.7500 0.7500 0.7500 1
Pt1 0.2500 0.2500 0.2500 1
Sn1 0.5000 0.5000 0.5000 1
Cu2 0.0000 0.0000 0.0000 1
```

Results
For the magnetization, the calculation gives 0.00 μB per cell. For the total energy, the calculation gives -4.53 eV per atom.

=====

Material: TaCuPt2
Method: DFT, GGA-PBE
State: relaxed

CIF file:
```
data_TaCuPt2
_cell_length_a 4.4340
_cell_length_b 4.4340
_cell_length_c 4.4340
_cell_angle_alpha 60.00
_cell_angle_beta 60.00
_cell_angle_gamma 60.00
_space_group_name_H-M_alt 'P 1'
_space_group_IT_number 1
loop_
_space_group_symop_operation_xyz
'x,y,z'
loop_
_atom_site_label
_atom_site_fract_x
_atom_site_fract_y
_atom_site_fract_z
_atom_site_occupancy
Ta1 0.5000 0.5000 0.5000 1
Cu1 0.2500 0.2500 0.2500 1
Pt1 0.7500 0.7500 0.7500 1
Pt2 0.0000 0.0000 0.0000 1
```

Results
For the energy of formation from the pure elements, the calculation gives -277 meV/atom. For the magnetization, the calculation gives 0.00 μB per cell.

=====

Material: Tb2CuPt
Method: DFT, GGA-PBE
State: relaxed

CIF file:
```
data_Tb2CuPt
_cell_length_a 5.5557
_cell_length_b 4.4956
_cell_length_c 7.5407
_cell_angle_alpha 90.00
_cell_angle_beta 109.91
_cell_angle_gamma 90.00
_space_group_name_H-M_alt 'P 1'
_space_group_IT_number 1
loop_
_space_group_symop_operation_xyz
'x,y,z'
loop_
_atom_site_label
_atom_site_fract_x
_atom_site_fract_y
_atom_site_fract_z
_atom_site_occupancy
Pt1 0.6563 0.2500 0.7875 1
Tb1 0.7790 0.7500 0.0662 1
Tb2 0.7755 0.7500 0.5723 1
Tb3 0.2210 0.2500 0.9338 1
Cu1 0.6581 0.2500 0.2911 1
Cu2 0.3419 0.7500 0.7089 1
Tb4 0.2245 0.2500 0.4277 1
Pt2 0.3437 0.7500 0.2125 1
```

Results
For the energy of formation from the pure elements, the calculation gives -803 meV/atom. For the magnetization, the calculation gives 0.00 μB per cell.

=====

Material: TbCuPt
Method: DFT, GGA-PBE
State: relaxed

CIF file:
```
data_TbCuPt
_cell_length_a 4.5159
_cell_length_b 4.5159
_cell_length_c 4.5159
_cell_angle_alpha 60.00
_cell_angle_beta 60.00
_cell_angle_gamma 60.00
_space_group_name_H-M_alt 'P 1'
_space_group_IT_number 1
loop_
_space_group_symop_operation_xyz
'x,y,z'
loop_
_atom_site_label
_atom_site_fract_x
_atom_site_fract_y
_atom_site_fract_z
_atom_site_occupancy
Cu1 0.2500 0.2500 0.2500 1
Pt1 0.0000 0.0000 0.0000 1
Tb1 0.7500 0.7500 0.7500 1
```

Results
For the energy of formation from the pure elements, the calculation gives -602 meV/atom. For the magnetization, the calculation gives 0.00 μB per cell.

=====

Material: ZnCuTcPt
Method: DFT, GGA-PBE
State: relaxed

CIF file:
```
data_ZnCuTcPt
_cell_length_a 4.3349
_cell_length_b 4.3349
_cell_length_c 4.3349
_cell_angle_alpha 60.00
_cell_angle_beta 60.00
_cell_angle_gamma 60.00
_space_group_name_H-M_alt 'P 1'
_space_group_IT_number 1
loop_
_space_group_symop_operation_xyz
'x,y,z'
loop_
_atom_site_label
_atom_site_fract_x
_atom_site_fract_y
_atom_site_fract_z
_atom_site_occupancy
Cu1 0.7500 0.7500 0.7500 1
Pt1 0.5000 0.5000 0.5000 1
Tc1 0.2500 0.2500 0.2500 1
Zn1 0.0000 0.0000 0.0000 1
```

Results
For the energy of formation from the pure elements, the calculation gives 73 meV/atom. Its distance to the lowest polymorph of the same formula is 0.0000 eV per atom. For the magnetization, the calculation gives 1.87 μB per cell.

=====

Material: TlCu3Te4Pt
Method: DFT, GGA-PBE
State: relaxed

CIF file:
```
data_TlCu3Te4Pt
_cell_length_a 6.3525
_cell_length_b 6.3525
_cell_length_c 6.3525
_cell_angle_alpha 90.00
_cell_angle_beta 90.00
_cell_angle_gamma 90.00
_space_group_name_H-M_alt 'P 1'
_space_group_IT_number 1
loop_
_space_group_symop_operation_xyz
'x,y,z'
loop_
_atom_site_label
_atom_site_fract_x
_atom_site_fract_y
_atom_site_fract_z
_atom_site_occupancy
Cu1 0.0000 0.5000 0.0000 1
Cu2 0.0000 0.0000 0.5000 1
Cu3 0.5000 0.0000 0.0000 1
Pt1 0.0000 0.0000 0.0000 1
Te1 0.7635 0.7635 0.7635 1
Te2 0.2365 0.7635 0.2365 1
Te3 0.7635 0.2365 0.2365 1
Te4 0.2365 0.2365 0.7635 1
Tl1 0.5000 0.5000 0.5000 1
```

Results
For the magnetization, the calculation gives 0.00 μB per cell. For the total energy, the calculation gives -3.53 eV per atom.